5
Lattice="6.301 0.000 0.000 0.000 6.301 0.000 0.000 0.000 5.708" Properties=species:S:1:pos:R:3 comment="BaSbP2Cl, optimized geometry, DFT GGA-PBE" formation_energy_uncorrected_ev_per_atom=0.6415 polymorph_energy_kj_per_mol_fu=496 crystal_system=tetragonal pbc="T T T"
Ba 0.000 0.000 0.000
Sb 3.150 3.150 2.854
P 0.000 3.150 0.000
P 3.150 0.000 0.000
Cl 0.000 0.000 2.854

4
Lattice="0.000 3.341 3.341 3.341 0.000 3.341 3.341 3.341 0.000" Properties=species:S:1:pos:R:3 comment="TaFeTe2, optimized geometry, DFT GGA-PBE" formation_energy_uncorrected_ev_per_atom=0.4340 crystal_system=cubic pbc="T T T"
Ta 0.000 0.000 0.000
Fe 3.341 3.341 3.341
Te 1.670 1.670 1.670
Te 5.011 5.011 5.011

10
Lattice="4.721 0.000 0.000 0.000 4.721 0.000 0.000 0.000 12.741" Properties=species:S:1:pos:R:3 comment="Sr2LiSn4Hg3, optimized geometry, DFT GGA-PBE" crystal_system=tetragonal delta_e_f_mev_per_atom=-377 pbc="T T T"
Sr 0.000 2.360 3.014
Sr 2.360 0.000 9.727
Li 2.360 2.360 0.000
Sn 0.000 0.000 6.370
Sn 0.000 2.360 11.076
Sn 2.360 0.000 1.665
Sn 2.360 2.360 6.370
Hg 0.000 0.000 0.000
Hg 0.000 2.360 8.281
Hg 2.360 0.000 4.460

14
Lattice="1.889 -6.511 0.000 1.889 6.511 0.000 0.000 0.000 13.738" Properties=species:S:1:pos:R:3 comment="Th4MgC2, optimized geometry, DFT GGA-PBE" crystal_system=orthorhombic delta_e_f_mev_per_atom=-75 pbc="T T T"
Th 0.000 0.000 0.000
Th 0.000 0.000 6.869
Th 1.889 3.102 8.268
Th 1.889 3.102 12.339
Th 1.889 1.172 3.434
Th 1.889 -1.172 10.303
Th 1.889 -3.102 1.399
Th 1.889 -3.102 5.470
Mg 1.889 5.136 3.434
Mg 1.889 -5.136 10.303
C 1.889 1.773 0.832
C 1.889 1.773 6.037
C 1.889 -1.773 7.701
C 1.889 -1.773 12.906

12
Lattice="4.427 0.000 0.000 0.000 5.503 0.000 0.000 0.000 9.501" Properties=species:S:1:pos:R:3 comment="BaTlPt10, optimized geometry, DFT GGA-PBE" crystal_system=orthorhombic delta_e_f_mev_per_atom=-239 pbc="T T T"
Ba 0.000 0.000 0.000
Tl 0.000 2.752 4.751
Pt 0.000 0.000 3.268
Pt 0.000 0.000 6.233
Pt 0.000 2.752 1.763
Pt 0.000 2.752 7.738
Pt 2.214 0.000 4.751
Pt 2.214 1.373 2.394
Pt 2.214 1.373 7.107
Pt 2.214 2.752 0.000
Pt 2.214 4.131 2.394
Pt 2.214 4.131 7.107

4
Lattice="0.000 3.354 3.354 3.354 0.000 3.354 3.354 3.354 0.000" Properties=species:S:1:pos:R:3 comment="GdHfCoPd, optimized geometry, DFT GGA-PBE" crystal_system=cubic delta_e_f_mev_per_atom=-372 pbc="T T T"
Gd 0.000 0.000 0.000
Hf 3.354 3.354 3.354
Co 5.031 5.031 5.031
Pd 1.677 1.677 1.677